The following is a DFT calculation (PBE) of a relaxed structure of Li2In3Sn2.

a b c (Å): 4.4315 3.0988 12.7548
angles (deg): 90.00 99.95 90.00
Closest atoms and distances in Å follow each position.
Atoms (fractional coordinates):
Li1 0.0728 0.0000 0.1307  4 Sn 3.04-3.07, 3 Li 3.10-3.28, 4 In 3.14-3.19
Li2 0.9272 0.0000 0.8693  4 Sn 3.04-3.07, 3 Li 3.10-3.28, 4 In 3.14-3.19
In1 0.2140 0.5000 0.4106  2 Sn 3.04-3.05, 4 In 3.10-3.21
In2 0.5000 0.5000 0.0000  2 Sn 3.07, 2 In 3.10, 8 Li 3.14-3.19
In3 0.7860 0.5000 0.5894  2 Sn 3.04-3.05, 4 In 3.10-3.21
Sn1 0.3666 0.5000 0.7557  3 In 3.04-3.07, 4 Li 3.04-3.07, 2 Sn 3.10
Sn2 0.6334 0.5000 0.2443  3 In 3.04-3.07, 4 Li 3.04-3.07, 2 Sn 3.10

Values from the calculation:
Fermi-level density of states (states/eV/atom): 0.50
SG: P2/m (10)
Density (g/cm3): 5.73
ΔH_f (0 K) (eV/atom): -0.12
Offset from the most stable computed form (meV per atom): 16
Magnetization (μB/f.u.): 0.000